# 1
DFT (GGA-PBE) results for crystalline CuTc2 at its relaxed geometry.

abc: 7.241 7.241 2.720
angles: 90.00 90.00 120.00
Positions (direct):
Cu 0.333 0.667 0.000
Cu 0.667 0.333 0.000
Cu 0.000 0.000 0.500
Tc 0.304 0.000 0.000
Tc 0.000 0.304 0.000
Tc 0.696 0.696 0.000
Tc 0.642 0.000 0.500
Tc 0.000 0.642 0.500
Tc 0.358 0.358 0.500

total magnetic moment: 0.00 μB/f.u.
formation enthalpy at 0 K: 0.195 eV/atom
total energy: -8.081 eV/atom
distance to the lowest polymorph of the same formula: 10.2 kJ/mol of atoms
SG: P-62m (189)


# 2
DFT (GGA-PBE) results for crystalline TmLuHf at its relaxed geometry.

abc: 3.338 3.338 7.607
angles: 102.67 102.67 90.00
Positions (direct):
Tm 0.323 0.323 0.645
Lu 0.011 0.011 0.023
Hf 0.666 0.666 0.332

total magnetic moment: 0.00 μB/f.u.
formation enthalpy at 0 K: 0.095 eV/atom
total energy: -6.220 eV/atom
distance to the lowest polymorph of the same formula: 0.0 kJ/mol of atoms
SG: I4mm (107)


# 3
DFT (GGA-PBE) results for crystalline Sr2As4IrPd3 at its relaxed geometry.

abc: 4.429 4.429 10.269
angles: 90.00 90.00 90.00
Positions (direct):
Sr 0.500 0.000 0.248
Sr 0.000 0.500 0.752
As 0.500 0.500 0.000
As 0.000 0.000 0.000
As 0.500 0.000 0.626
As 0.000 0.500 0.374
Ir 0.500 0.500 0.500
Pd 0.000 0.000 0.500
Pd 0.500 0.000 0.872
Pd 0.000 0.500 0.128

total magnetic moment: 0.00 μB/f.u.
formation enthalpy at 0 K: -0.700 eV/atom
total energy: -5.340 eV/atom
SG: P-4m2 (115)


# 4
DFT (GGA-PBE) results for crystalline AcPrVN3 at its relaxed geometry.

abc: 3.951 7.030 7.414
angles: 105.20 90.00 106.32
Positions (direct):
Ac 0.358 0.715 0.927
Ac 0.642 0.285 0.073
Pr 0.647 0.294 0.572
Pr 0.353 0.706 0.428
V 0.000 0.000 0.276
V 0.000 0.000 0.724
N 0.849 0.698 0.182
N 0.847 0.694 0.666
N 0.500 0.001 0.268
N 0.153 0.306 0.334
N 0.500 0.999 0.732
N 0.151 0.302 0.818

total magnetic moment: 0.00 μB/f.u.
formation energy without anion corrections: -1.136 eV per atom
total energy: -8.300 eV/atom
SG: C2/m (12)


# 5
DFT (GGA-PBE) results for crystalline LiBeBS2 at its relaxed geometry.

abc: 4.481 3.694 4.481
angles: 90.00 90.00 90.00
Positions (direct):
Be 0.000 0.000 0.000
S 0.000 0.000 0.500
S 0.500 0.000 0.000
B 0.000 0.500 0.000
Li 0.500 0.500 0.500

total magnetic moment: 0.00 μB/f.u.
formation energy without anion corrections: 0.362 eV per atom
total energy: -3.753 eV/atom
SG: P4/mmm (123)


# 6
DFT (GGA-PBE) results for crystalline Li2PmSc at its relaxed geometry.

abc: 5.154 5.154 5.154
angles: 60.00 60.00 60.00
Last column: magnetic moment on the atom in μB.
Positions (direct):
Sc 0.500 0.500 0.500  0.10
Li 0.250 0.250 0.250  0.00
Li 0.750 0.750 0.750  0.00
Pm 0.000 0.000 0.000  0.06

total magnetic moment: 0.31 μB/f.u.
formation enthalpy at 0 K: 0.186 eV/atom
total energy: -3.542 eV/atom
distance to the lowest polymorph of the same formula: 0.0 kJ/mol of atoms
SG: Fm-3m (225)


# 7
DFT (GGA-PBE) results for crystalline Cd4TcSe at its relaxed geometry.

abc: 5.590 5.590 5.590
angles: 60.00 60.00 60.00
Positions (direct):
Cd 0.877 0.374 0.374
Cd 0.374 0.374 0.877
Cd 0.374 0.877 0.374
Cd 0.374 0.374 0.374
Tc 0.000 0.000 0.000
Se 0.750 0.750 0.750

total magnetic moment: 0.00 μB/f.u.
formation energy without anion corrections: 0.595 eV per atom
total energy: -2.324 eV/atom
SG: F-43m (216)


# 8
DFT (GGA-PBE) results for crystalline MgZrCu at its relaxed geometry.

abc: 4.663 4.663 2.902
angles: 90.00 90.00 120.00
Positions (direct):
Cu 0.000 0.000 0.167
Mg 0.667 0.333 0.166
Zr 0.333 0.667 0.666

total magnetic moment: 0.00 μB/f.u.
formation enthalpy at 0 K: 0.043 eV/atom
total energy: -4.703 eV/atom
SG: P-6m2 (187)